1.
MnSb2Ru, relaxed, DFT PBE-GGA; space group = No. 119; energy relative to the lowest polymorph listed for this composition = 246 meV/atom; V = 75 Å³ per cell; uncorrected formation energy = 0.295 eV per atom; E_tot = -6.38 eV/atom
1.0
-2.1337 4.2884 -2.7554
-5.4472 0.9003 0.2292
4.1540 -0.9677 3.5133
Mn Sb Ru
1 2 1
direct
0.5000 0.5000 0.0000 Mn
0.2500 0.7500 0.5000 Sb
0.0000 0.0000 0.0000 Sb
0.7500 0.2500 0.5000 Ru



2.
Mn2SbRu, relaxed, DFT PBE-GGA; space group = No. 47; V = 58 Å³ per cell; uncorrected formation energy = 0.090 eV per atom; E_tot = -7.84 eV/atom
1.0
-0.8196 0.5285 3.0123
-0.1399 -4.2810 0.7131
4.0867 0.0502 1.1031
Ru Mn Sb
1 2 1
direct
0.5000 0.0000 0.5000 Ru
0.5000 0.5000 0.0000 Mn
0.0000 0.0000 0.0000 Mn
0.0000 0.5000 0.5000 Sb



3.
MnSbRu, relaxed, DFT PBE-GGA; space group = No. 8; V = 237 Å³ per cell; uncorrected formation energy = 0.146 eV per atom; E_tot = -7.38 eV/atom
1.0
9.3865 0.0000 -0.0769
0.0000 2.9456 0.0000
-1.2887 0.0000 8.5861
Mn Ru Sb
4 4 4
direct
0.1560 0.5000 0.9821 Mn
0.1560 0.0000 0.4821 Mn
0.2956 0.0000 0.7867 Mn
0.2956 0.5000 0.2867 Mn
0.9427 0.5000 0.3862 Ru
0.0845 0.5000 0.6918 Ru
0.9427 0.0000 0.8862 Ru
0.0845 0.0000 0.1918 Ru
0.8137 0.5000 0.0869 Sb
0.4473 0.0000 0.5372 Sb
0.4473 0.5000 0.0372 Sb
0.8137 0.0000 0.5869 Sb



4.
MnSb2Ru, relaxed, DFT PBE-GGA; space group = No. 12; energy relative to the lowest polymorph listed for this composition = 146 meV/atom; V = 76 Å³ per cell; uncorrected formation energy = 0.194 eV per atom; E_tot = -6.48 eV/atom
1.0
4.4708 -0.0045 0.0061
3.2872 3.0302 0.0061
1.1176 0.4359 5.5979
Sb Ru Mn
2 1 1
direct
0.9936 0.9936 0.0098 Sb
0.5064 0.5064 0.4902 Sb
0.2500 0.2500 0.2500 Ru
0.7500 0.7500 0.7500 Mn



5.
MnSbRu, relaxed, DFT PBE-GGA; space group = No. 11; V = 96 Å³ per cell; uncorrected formation energy = 0.192 eV per atom; E_tot = -7.33 eV/atom
1.0
5.5598 0.0000 -0.0028
0.0000 3.0700 0.0000
-1.5792 0.0000 5.6134
Ru Mn Sb
2 2 2
direct
0.4054 0.2500 0.1410 Ru
0.5946 0.7500 0.8590 Ru
0.0839 0.7500 0.8814 Mn
0.9161 0.2500 0.1186 Mn
0.7729 0.2500 0.5583 Sb
0.2271 0.7500 0.4417 Sb



6.
MnSb2Ru, relaxed, DFT PBE-GGA; space group = No. 160; energy relative to the lowest polymorph listed for this composition = 195 meV/atom; V = 87 Å³ per cell; uncorrected formation energy = 0.244 eV per atom; E_tot = -6.43 eV/atom
1.0
-2.7360 8.7526 -4.5858
-3.8784 6.7086 -6.7140
-5.6105 7.4924 -4.1846
Mn Sb Ru
1 2 1
direct
0.4884 0.4884 0.4884 Mn
0.2263 0.2263 0.2263 Sb
0.0265 0.0265 0.0265 Sb
0.7588 0.7588 0.7588 Ru



- Which of these has the highest E_tot?
  number 1



- E_tot of number 2 (Mn2SbRu)?
  -7.84 eV/atom